Zr3NiPt | PBE | relaxed

Cell and atoms, written as POSCAR:
```
Zr3NiPt
1.0
4.770 0.000 0.000
0.000 4.770 0.000
0.000 0.000 4.770
Zr Ni Pt
3 1 1
Cartesian
0.000 0.000 2.385
0.000 2.385 0.000
2.385 0.000 0.000
0.000 0.000 0.000
2.385 2.385 2.385
```

Results
The symmetry is Pm-3m (221). The total energy is -0.54181 Ry per atom. Its formation energy from the elements is 0.12 eV/atom. The calculation puts the energy above the lowest structure with this stoichiometry at 0.0000 eV/atom.

---

HfMg6Sn | PBE | relaxed

Cell and atoms, written as POSCAR:
```
HfMg6Sn
1.0
5.013 0.000 0.000
0.000 3.208 5.561
0.000 -3.208 5.561
Hf Mg Sn
1 6 1
Cartesian
0.000 0.000 0.000
0.000 0.000 5.473
0.000 -1.545 8.320
0.000 1.545 8.320
2.506 -1.612 4.520
2.506 0.000 7.270
2.506 1.612 4.520
2.506 0.000 1.718
```

Results
The symmetry is Amm2 (38). The total energy is -0.21576 Ry per atom. Its formation energy from the elements is 0.00 eV/atom. The calculation puts the energy above the lowest structure with this stoichiometry at 0.0100 eV/atom.

---

Sm3CoRh2 | PBE | relaxed

Cell and atoms, written as POSCAR:
```
Sm3CoRh2
1.0
11.381 0.000 0.000
0.000 4.086 0.000
0.000 0.000 11.572
Sm Co Rh
12 4 8
Cartesian
0.612 1.021 1.423
1.377 3.064 6.438
2.385 1.021 9.279
3.306 3.064 3.493
4.314 1.021 0.652
5.078 3.064 7.210
6.303 1.021 4.363
7.067 3.064 10.920
8.075 1.021 8.080
8.996 3.064 2.293
10.004 1.021 5.134
10.768 3.064 10.149
1.446 1.021 4.238
4.245 3.064 10.024
7.136 1.021 1.548
9.935 3.064 7.334
0.237 3.064 3.600
2.139 3.064 11.479
3.552 1.021 5.693
5.453 1.021 9.386
5.927 3.064 2.186
7.829 3.064 5.880
9.242 1.021 0.094
11.144 1.021 7.972
```

Results
The symmetry is Pnma (62). The total energy is -0.47748 Ry per atom. Its formation energy from the elements is -0.50 eV/atom.

---

SbSN2F | PBE | relaxed

Cell and atoms, written as POSCAR:
```
SbSN2F
1.0
4.076 0.000 0.000
0.000 4.076 0.000
0.000 0.000 5.279
Sb S N F
1 1 2 1
Cartesian
0.000 0.000 0.000
0.000 0.000 2.639
0.000 2.038 0.000
2.038 0.000 0.000
2.038 2.038 2.639
```

Results
The symmetry is P4/mmm (123). The total energy is -0.29384 Ry per atom. The calculation puts the energy above the lowest structure with this stoichiometry at 0.4309 eV/atom. The raw formation energy is 6.8 eV per formula unit.